[1]
First-principles (GGA-PBE) data for an optimized crystal structure of KBa2Tl, as listed in Alexandria via LeMat-Bulk.

The value obtained for the energy of formation from the pure elements is -0.12 eV/atom. As for the density of states at the Fermi level: 3.56 states/eV/f.u. For the total energy, the calculation gives -1.95 eV/atom. Its crystal system is trigonal.

The space group is R3m (No. 160, hexagonal axes) and the conventional cell measures 4.5278, 4.5278 and 38.5341 Å, with angles of 90.00, 90.00 and 120.00 degrees. The distinct sites, in fractional coordinates, are K at (0.0000, 0.0000, 0.0000), Ba at (0.0000, 0.0000, 0.2300), Ba at (0.0000, 0.0000, 0.4375) and Tl at (0.0000, 0.0000, 0.8338).

[2]
First-principles (GGA-PBE) data for an optimized crystal structure of K2BaTl, as listed in Alexandria via LeMat-Bulk.

The value obtained for the energy of formation from the pure elements is 0.08 eV/atom. As for the density of states at the Fermi level: 5.06 states/eV/f.u. For the total energy, the calculation gives -1.54 eV/atom. Its crystal system is cubic.

The space group is Fm-3m (No. 225) and the conventional cell measures 9.0185, 9.0185 and 9.0185 Å, with angles of 90.00, 90.00 and 90.00 degrees. The distinct sites, in fractional coordinates, are K at (0.2500, 0.2500, 0.2500), Ba at (0.0000, 0.0000, 0.0000) and Tl at (0.0000, 0.0000, 0.5000).

[3]
First-principles (GGA-PBE) data for an optimized crystal structure of KBa2Tl8, as listed in Alexandria via LeMat-Bulk.

The value obtained for the energy of formation from the pure elements is -0.20 eV/atom. As for the density of states at the Fermi level: 6.10 states/eV/f.u. For the total energy, the calculation gives -2.37 eV/atom. Its crystal system is monoclinic.

The space group is C2/m (No. 12) and the conventional cell measures 8.1402, 17.8151 and 6.6101 Å, with angles of 90.00, 124.84 and 90.00 degrees. The distinct sites, in fractional coordinates, are K at (0.0000, 0.0000, 0.0000), Ba at (0.0000, 0.3206, 0.5000), Tl at (0.0000, 0.2170, 0.0000), Tl at (0.0389, 0.5000, 0.2659) and Tl at (0.2167, 0.1324, 0.7765).

[4]
First-principles (GGA-PBE) data for an optimized crystal structure of KBa2TlZn, as listed in Alexandria via LeMat-Bulk.

The value obtained for the energy of formation from the pure elements is -0.02 eV/atom. As for the density of states at the Fermi level: 3.16 states/eV/f.u. For the total energy, the calculation gives -1.74 eV/atom. Its crystal system is tetragonal.

The space group is P4/mmm (No. 123) and the conventional cell measures 6.6671, 6.6671 and 5.2842 Å, with angles of 90.00, 90.00 and 90.00 degrees. The distinct sites, in fractional coordinates, are K at (0.0000, 0.0000, 0.0000), Ba at (0.0000, 0.5000, 0.5000), Tl at (0.5000, 0.5000, 0.0000) and Zn at (0.5000, 0.5000, 0.5000).

What is the total energy in the fourth record? -1.74 eV/atom